# 1
# MnCu2Tc2

A relaxed structure of MnCu2Tc2 (PBE, Alexandria).

a = 6.627 Å, b = 6.627 Å, c = 6.627 Å
α = 149.36°, β = 149.36°, γ = 43.87°
Fractional positions:
1 Mn 0.000 0.000 0.000
2 Cu 0.407 0.407 0.000
3 Cu 0.593 0.593 0.000
4 Tc 0.250 0.750 0.500
5 Tc 0.750 0.250 0.500

Results
ΔE_f in eV per atom: 0.5225
E above lowest polymorph in kJ/mol of atoms: 0.00
DFT total energy in eV per atom: -7.096

=====

# 2
# NaPmPu4N8

A relaxed structure of NaPmPu4N8 (PBE, Alexandria).

a = 6.652 Å, b = 6.652 Å, c = 6.652 Å
α = 62.33°, β = 62.33°, γ = 62.33°
Fractional positions:
1 Na 0.000 0.000 0.000
2 Pm 0.384 0.384 0.384
3 Pu 0.001 0.001 0.499
4 Pu 0.001 0.499 0.001
5 Pu 0.499 0.001 0.001
6 Pu 0.614 0.614 0.614
7 N 0.212 0.745 0.745
8 N 0.235 0.235 0.235
9 N 0.252 0.252 0.805
10 N 0.252 0.805 0.252
11 N 0.745 0.212 0.745
12 N 0.745 0.745 0.212
13 N 0.760 0.760 0.760
14 N 0.805 0.252 0.252

Results
Formation energy from raw total energies in meV per atom: -881
DFT total energy in eV per atom: -10.167